1.
Density functional theory data (PBE-GGA) for CrFeTc2 after structural relaxation.

Summary:
Its space group is F-43m. For the formation energy, the calculation gives 0.16 eV/atom. As for the mass density: 9.452 Mg/m³. The total magnetic moment comes out at 3.7 μB per formula unit.

a b c (Å): 4.2264 4.2264 4.2264
angles (deg): 60.00 60.00 60.00
With the nearest neighbours (Å) after each atom.
Sites, in units of the cell vectors:
Fe 0.7500 0.7500 0.7500  4 Cr 2.59, 4 Tc 2.59
Tc 0.2500 0.2500 0.2500  4 Cr 2.59, 4 Tc 2.59
Tc 0.0000 0.0000 0.0000  4 Fe 2.59, 4 Tc 2.59
Cr 0.5000 0.5000 0.5000  4 Fe 2.59, 4 Tc 2.59

=====

2.
Density functional theory data (PBE-GGA) for CrFe2Tc2 after structural relaxation.

Summary:
Its space group is P4/mbm. For the formation energy, the calculation gives 0.26 eV/atom. As for the mass density: 9.265 Mg/m³. The total magnetic moment comes out at 1.7 μB per formula unit.

a b c (Å): 6.9229 6.9229 2.6902
angles (deg): 90.00 90.00 90.00
With the nearest neighbours (Å) after each atom.
Sites, in units of the cell vectors:
Fe 0.3769 0.8769 0.0000  6 Tc 2.39-2.49, 1 Fe 2.41
Fe 0.1231 0.3769 0.0000  6 Tc 2.39-2.49, 1 Fe 2.41
Fe 0.8769 0.6231 0.0000  6 Tc 2.39-2.49, 1 Fe 2.41
Fe 0.6231 0.1231 0.0000  6 Tc 2.39-2.49, 1 Fe 2.41
Cr 0.0000 0.0000 0.0000  2 Cr 2.69, 4 Fe 2.74, 8 Tc 2.89
Cr 0.5000 0.5000 0.0000  2 Cr 2.69, 4 Fe 2.74, 8 Tc 2.89
Tc 0.3255 0.1745 0.5000  6 Fe 2.39-2.49
Tc 0.6745 0.8255 0.5000  6 Fe 2.39-2.49
Tc 0.8255 0.3255 0.5000  6 Fe 2.39-2.49
Tc 0.1745 0.6745 0.5000  6 Fe 2.39-2.49

=====

DOS at the Fermi energy / states/eV per cell: 3.59 12.47